Compound: BaCr2HgO8
Source: Alexandria via LeMat-Bulk
Functional: GGA+U
Structure: relaxed

symmetry: R-3 (148)
VASP energy: -73.8 eV per formula unit
total magnetic moment: 0.00 μB/cell
theoretical density: 5.14 g/cm³

Cell and atoms, written as CIF:
```
data_BaCr2HgO8
_chemical_formula_sum 'Ba1 Cr2 Hg1 O8'
_space_group_name_H-M_alt 'P 1'
_space_group_IT_number 1
_space_group_name_Hall 'P 1'
_cell_length_a 5.295
_cell_length_b 5.295
_cell_length_c 8.177
_cell_angle_alpha 71.11
_cell_angle_beta 71.11
_cell_angle_gamma 60.00
loop_
_atom_site_label
_atom_site_fract_x
_atom_site_fract_y
_atom_site_fract_z
_atom_site_occupancy
Ba1 0.500 0.500 0.500 1
Cr1 0.250 0.250 0.251 1
Cr2 0.750 0.750 0.749 1
Hg1 0.000 0.000 0.000 1
O1 0.177 0.177 0.469 1
O2 0.565 0.286 0.186 1
O3 0.823 0.823 0.531 1
O4 0.962 0.565 0.186 1
O5 0.038 0.435 0.814 1
O6 0.286 0.962 0.186 1
O7 0.714 0.038 0.814 1
O8 0.435 0.714 0.814 1
```